## a
# Li2CoTc

An optimized crystal structure of Li2CoTc (PBEsol, Alexandria).

## Properties
- D(E_F): 1.089 states/eV/atom
- Symmetry: Immm

a = 2.548 Å, b = 4.202 Å, c = 5.176 Å
α = 113.95°, β = 104.25°, γ = 90.00°
Fractional coordinates of all 4 atoms:
Co 0.000 0.500 0.000
Tc 0.500 0.000 0.000
Li 0.266 0.266 0.532
Li 0.734 0.734 0.468

## b
# Li2CoTc

An optimized crystal structure of Li2CoTc (PBEsol, Alexandria).

## Properties
- D(E_F): 0.830 states/eV/atom
- Symmetry: P2/m

a = 2.456 Å, b = 4.441 Å, c = 4.519 Å
α = 90.00°, β = 90.00°, γ = 94.92°
Site moments in Bohr magnetons follow the coordinates.
Fractional coordinates of all 4 atoms:
Tc 0.000 0.500 0.500  0.18
Li 0.309 0.247 0.000  -0.01
Li 0.691 0.753 0.000  -0.01
Co 0.500 0.000 0.500  0.82

## c
# Li2CoTc

An optimized crystal structure of Li2CoTc (PBEsol, Alexandria).

## Properties
- D(E_F): 0.782 states/eV/atom
- Symmetry: P4/mmm

a = 2.398 Å, b = 4.456 Å, c = 4.456 Å
α = 90.00°, β = 90.00°, γ = 90.00°
Site moments in Bohr magnetons follow the coordinates.
Fractional coordinates of all 4 atoms:
Li 0.000 0.000 0.500  -0.01
Li 0.000 0.500 0.000  -0.01
Tc 0.500 0.500 0.500  0.28
Co 0.500 0.000 0.000  1.57

Least stable: c

## a
# LiCoW2

An optimized crystal structure of LiCoW2 (PBEsol, Alexandria).

## Properties
- D(E_F): 0.737 states/eV/atom
- Symmetry: Pm

a = 2.611 Å, b = 4.190 Å, c = 4.799 Å
α = 90.00°, β = 97.26°, γ = 90.00°
Fractional coordinates of all 4 atoms:
W 0.983 0.000 0.971
W 0.764 0.500 0.278
Co 0.411 0.000 0.490
Li 0.342 0.500 0.761

## b
# LiCoW2

An optimized crystal structure of LiCoW2 (PBEsol, Alexandria).

## Properties
- D(E_F): 0.565 states/eV/atom
- Symmetry: Immm

a = 2.953 Å, b = 4.261 Å, c = 5.008 Å
α = 115.18°, β = 107.15°, γ = 90.00°
Fractional coordinates of all 4 atoms:
W 0.738 0.738 0.476
W 0.262 0.262 0.524
Co 0.000 0.500 0.000
Li 0.500 0.000 0.000

Least stable: b

## a
# LiZr2Co

An optimized crystal structure of LiZr2Co (PBEsol, Alexandria).

## Properties
- D(E_F): 1.056 states/eV/atom
- Symmetry: P2/m

a = 3.237 Å, b = 3.273 Å, c = 6.386 Å
α = 94.96°, β = 90.00°, γ = 90.00°
Fractional coordinates of all 4 atoms:
Li 0.500 0.500 0.000
Zr 0.000 0.941 0.729
Zr 0.000 0.059 0.271
Co 0.500 0.500 0.500

## b
# LiZr2Co

An optimized crystal structure of LiZr2Co (PBEsol, Alexandria).

## Properties
- D(E_F): 1.071 states/eV/atom
- Symmetry: Fm-3m

a = 4.505 Å, b = 4.508 Å, c = 4.508 Å
α = 60.02°, β = 60.02°, γ = 60.02°
Site moments in Bohr magnetons follow the coordinates.
Fractional coordinates of all 4 atoms:
Li 0.500 0.000 0.000  0.01
Zr 0.250 0.750 0.750  0.03
Zr 0.750 0.250 0.250  0.03
Co 0.000 0.500 0.500  0.28

Least stable: a

## a
# MgCoNi

An optimized crystal structure of MgCoNi (PBEsol, Alexandria).

## Properties
- D(E_F): 1.380 states/eV/atom
- Symmetry: F-43m

a = 3.950 Å, b = 3.950 Å, c = 3.950 Å
α = 60.00°, β = 60.00°, γ = 60.00°
Site moments in Bohr magnetons follow the coordinates.
Fractional coordinates of all 3 atoms:
Co 0.250 0.250 0.250  1.35
Mg 0.000 0.000 0.000  -0.01
Ni 0.500 0.500 0.500  0.69

## b
# MgCoNi

An optimized crystal structure of MgCoNi (PBEsol, Alexandria).

## Properties
- D(E_F): 0.936 states/eV/atom
- Symmetry: Amm2

a = 4.729 Å, b = 4.793 Å, c = 7.665 Å
α = 90.00°, β = 90.00°, γ = 119.56°
Site moments in Bohr magnetons follow the coordinates.
Fractional coordinates of all 12 atoms:
Ni 0.175 0.349 0.000  0.35
Ni 0.830 0.660 0.500  0.27
Ni 0.337 0.167 0.500  0.23
Ni 0.830 0.167 0.500  0.23
Co 0.662 0.842 0.000  1.28
Co 0.179 0.842 0.000  1.28
Co 0.995 0.989 0.754  1.24
Co 0.995 0.989 0.246  1.24
Mg 0.667 0.334 0.188  -0.02
Mg 0.667 0.334 0.812  -0.02
Mg 0.332 0.664 0.314  -0.01
Mg 0.332 0.664 0.686  -0.01

## c
# MgCoNi

An optimized crystal structure of MgCoNi (PBEsol, Alexandria).

## Properties
- D(E_F): 1.221 states/eV/atom
- Symmetry: P3m1

a = 2.641 Å, b = 2.641 Å, c = 6.173 Å
α = 90.00°, β = 90.00°, γ = 120.00°
Site moments in Bohr magnetons follow the coordinates.
Fractional coordinates of all 3 atoms:
Co 0.000 0.000 0.017  1.42
Mg 0.333 0.667 0.665  -0.02
Ni 0.667 0.333 0.318  0.34

Least stable: a

## a
# Mg2Co3O8

An optimized crystal structure of Mg2Co3O8 (PBEsol, Alexandria).

## Properties
- D(E_F): 0.345 states/eV/atom
- Symmetry: P6_3mc

a = 5.659 Å, b = 5.659 Å, c = 9.174 Å
α = 90.00°, β = 90.00°, γ = 120.00°
Site moments in Bohr magnetons follow the coordinates.
Fractional coordinates of all 26 atoms:
Mg 0.333 0.667 0.978  0.00
Mg 0.667 0.333 0.077  0.00
Mg 0.667 0.333 0.478  0.00
Mg 0.333 0.667 0.577  0.00
O 0.333 0.667 0.361  -0.01
O 0.961 0.481 0.640  0.04
O 0.841 0.683 0.352  0.26
O 0.000 0.000 0.151  -0.02
O 0.683 0.841 0.852  0.26
O 0.159 0.841 0.852  0.26
O 0.519 0.039 0.640  0.04
O 0.519 0.481 0.640  0.04
O 0.667 0.333 0.861  -0.01
O 0.481 0.519 0.140  0.04
O 0.841 0.159 0.352  0.26
O 0.317 0.159 0.352  0.26
O 0.000 0.000 0.651  -0.02
O 0.039 0.519 0.140  0.04
O 0.481 0.961 0.140  0.04
O 0.159 0.317 0.852  0.26
Co 0.671 0.836 0.255  0.66
Co 0.164 0.329 0.255  0.66
Co 0.836 0.671 0.755  0.66
Co 0.836 0.164 0.755  0.66
Co 0.329 0.164 0.755  0.66
Co 0.164 0.836 0.255  0.66

## b
# Mg2Co3O8

An optimized crystal structure of Mg2Co3O8 (PBEsol, Alexandria).

## Properties
- D(E_F): 0.509 states/eV/atom
- Symmetry: C2/m

a = 4.740 Å, b = 5.606 Å, c = 5.723 Å
α = 119.32°, β = 106.97°, γ = 90.00°
Site moments in Bohr magnetons follow the coordinates.
Fractional coordinates of all 13 atoms:
O 0.399 0.885 0.222  0.07
O 0.931 0.604 0.209  0.22
O 0.399 0.337 0.222  0.07
O 0.069 0.396 0.791  0.22
O 0.911 0.103 0.207  0.00
O 0.089 0.897 0.793  0.00
O 0.601 0.115 0.778  0.07
O 0.601 0.663 0.778  0.07
Mg 0.345 0.275 0.549  0.01
Mg 0.655 0.725 0.451  0.01
Co 0.500 0.000 0.000  0.62
Co 0.000 0.259 0.000  0.76
Co 0.000 0.741 0.000  0.76

Least stable: a

## a
# Mg2CoWO6

An optimized crystal structure of Mg2CoWO6 (PBEsol, Alexandria).

## Properties
- D(E_F): 0.191 states/eV/atom
- Symmetry: P2_1/c

a = 5.018 Å, b = 5.228 Å, c = 7.405 Å
α = 90.00°, β = 89.16°, γ = 90.00°
Site moments in Bohr magnetons follow the coordinates.
Fractional coordinates of all 20 atoms:
O 0.184 0.810 0.941  0.00
O 0.684 0.690 0.441  0.00
O 0.370 0.059 0.246  0.01
O 0.816 0.190 0.059  0.00
O 0.818 0.191 0.427  0.01
O 0.316 0.310 0.559  0.00
O 0.630 0.941 0.754  0.01
O 0.182 0.809 0.573  0.01
O 0.318 0.309 0.927  0.01
O 0.682 0.691 0.073  0.01
O 0.130 0.559 0.254  0.01
O 0.870 0.441 0.746  0.01
W 0.500 0.000 0.000  0.15
W 0.000 0.500 0.500  0.15
Mg 0.516 0.438 0.258  0.00
Mg 0.484 0.562 0.742  0.00
Mg 0.016 0.062 0.758  0.00
Mg 0.984 0.938 0.242  0.00
Co 0.000 0.500 0.000  0.72
Co 0.500 0.000 0.500  0.72

## b
# Mg2CoWO6

An optimized crystal structure of Mg2CoWO6 (PBEsol, Alexandria).

## Properties
- D(E_F): 0.752 states/eV/atom
- Symmetry: R3

a = 5.108 Å, b = 5.108 Å, c = 5.455 Å
α = 62.09°, β = 62.09°, γ = 60.00°
Site moments in Bohr magnetons follow the coordinates.
Fractional coordinates of all 10 atoms:
O 0.357 0.719 0.832  0.05
O 0.876 0.607 0.318  0.08
O 0.607 0.199 0.318  0.08
O 0.092 0.357 0.832  0.05
O 0.199 0.876 0.318  0.08
O 0.719 0.092 0.832  0.05
Mg 0.782 0.782 0.654  0.00
Mg 0.282 0.282 0.154  0.00
Co 0.492 0.492 0.525  2.50
W 0.987 0.987 0.040  0.03

Least stable: a

## a
# MgCoOs

An optimized crystal structure of MgCoOs (PBEsol, Alexandria).

## Properties
- D(E_F): 1.058 states/eV/atom
- Symmetry: P3m1

a = 2.712 Å, b = 2.712 Å, c = 6.482 Å
α = 90.00°, β = 90.00°, γ = 120.00°
Site moments in Bohr magnetons follow the coordinates.
Fractional coordinates of all 3 atoms:
Mg 0.667 0.333 0.676  -0.01
Os 0.333 0.667 0.310  0.04
Co 0.000 0.000 0.014  1.05

## b
# MgCoOs

An optimized crystal structure of MgCoOs (PBEsol, Alexandria).

## Properties
- D(E_F): 1.411 states/eV/atom
- Symmetry: F-43m

a = 3.983 Å, b = 3.983 Å, c = 3.983 Å
α = 60.00°, β = 60.00°, γ = 60.00°
Fractional coordinates of all 3 atoms:
Os 0.500 0.500 0.500
Co 0.750 0.750 0.750
Mg 0.000 0.000 0.000

Least stable: b

## a
# Mg2CoSb2

An optimized crystal structure of Mg2CoSb2 (PBEsol, Alexandria).

## Properties
- D(E_F): 0.604 states/eV/atom
- Symmetry: P4/mbm

a = 4.984 Å, b = 6.523 Å, c = 6.523 Å
α = 90.00°, β = 90.00°, γ = 90.00°
Fractional coordinates of all 10 atoms:
Mg 0.500 0.828 0.328
Mg 0.500 0.328 0.172
Mg 0.500 0.672 0.828
Mg 0.500 0.172 0.672
Sb 0.000 0.156 0.344
Sb 0.000 0.844 0.656
Sb 0.000 0.656 0.156
Sb 0.000 0.344 0.844
Co 0.000 0.000 0.000
Co 0.000 0.500 0.500

## b
# Mg2CoSb2

An optimized crystal structure of Mg2CoSb2 (PBEsol, Alexandria).

## Properties
- D(E_F): 0.729 states/eV/atom
- Symmetry: I4/mmm

a = 4.105 Å, b = 4.105 Å, c = 7.907 Å
α = 105.05°, β = 105.05°, γ = 90.00°
Site moments in Bohr magnetons follow the coordinates.
Fractional coordinates of all 5 atoms:
Co 0.000 0.000 0.000  1.88
Mg 0.593 0.593 0.186  -0.01
Mg 0.407 0.407 0.814  -0.01
Sb 0.250 0.750 0.500  0.01
Sb 0.750 0.250 0.500  0.01

Least stable: b